A relaxed Zr6Ir5Rh crystal. Source: the Alexandria database, functional GGA-PBE.

Properties
The space-group type is P2/m (10). The total magnetization is 0.0 Bohr magnetons per cell. As for the formation energy: -0.782 eV per atom.

Cell: 4.660 6.716 7.119 Å, 90.00 102.99 90.00°
Fractional coordinates of all 12 atoms:
Zr (0.000, 0.250, 0.000)
Zr (0.000, 0.750, 0.000)
Zr (0.332, 0.250, 0.667)
Zr (0.332, 0.750, 0.667)
Zr (0.668, 0.250, 0.333)
Zr (0.668, 0.750, 0.333)
Ir (0.168, 0.000, 0.331)
Ir (0.171, 0.500, 0.336)
Ir (0.500, 0.500, 0.000)
Ir (0.829, 0.500, 0.664)
Ir (0.832, 0.000, 0.669)
Rh (0.500, 0.000, 0.000)